Arrangement one

Here is a geometry-optimized Zr2UCd structure from Alexandria via LeMat-Bulk. Energies are from GGA-PBE.

Lattice parameters (Å, degrees): 5.0218 5.0218 5.0219 60.00 60.00 60.00
Each line ends with the local moment (μB).
Atoms (fractional coordinates):
Cd  0.5000  0.5000  0.5000  -0.02
Zr  0.7500  0.7500  0.7501  0.21
Zr  0.2500  0.2500  0.2499  0.21
U  0.0000  0.0000  0.0000  2.00

spin magnetization = 2.7 μB/cell
DOS at the Fermi energy = 1.86 states/eV/atom


Arrangement two

Here is a geometry-optimized Zr2UCd structure from Alexandria via LeMat-Bulk. Energies are from GGA-PBE.

Lattice parameters (Å, degrees): 3.9912 4.7353 4.7353 90.00 90.00 90.00
Each line ends with the local moment (μB).
Atoms (fractional coordinates):
Zr  0.0000  0.0000  0.5000  0.14
Zr  0.0000  0.5000  0.0000  0.14
U  0.5000  0.5000  0.5000  1.89
Cd  0.5000  0.0000  0.0000  -0.01

spin magnetization = 2.4 μB/cell
DOS at the Fermi energy = 1.77 states/eV/atom


Most stable: arrangement two (next structure +132 meV/atom)


Arrangement one

Here is a geometry-optimized V2Cd2W structure from Alexandria via LeMat-Bulk. Energies are from GGA-PBE.

Lattice parameters (Å, degrees): 7.7026 7.7026 2.8668 90.00 90.00 90.00
Atoms (fractional coordinates):
V  0.1059  0.3941  0.0000
V  0.8941  0.6059  0.0000
V  0.3941  0.8941  0.0000
V  0.6059  0.1059  0.0000
Cd  0.6885  0.8115  0.5000
Cd  0.3115  0.1885  0.5000
Cd  0.1885  0.6885  0.5000
Cd  0.8115  0.3115  0.5000
W  0.5000  0.5000  0.0000
W  0.0000  0.0000  0.0000

spin magnetization = 0.0 μB/cell
DOS at the Fermi energy = 0.97 states/eV/atom


Arrangement two

Here is a geometry-optimized V2Cd2W structure from Alexandria via LeMat-Bulk. Energies are from GGA-PBE.

Lattice parameters (Å, degrees): 3.8240 3.8240 6.6991 73.42 73.42 90.00
Atoms (fractional coordinates):
V  0.5788  0.5788  0.8424
V  0.4212  0.4212  0.1576
Cd  0.7500  0.2500  0.5000
Cd  0.2500  0.7500  0.5000
W  0.0000  0.0000  0.0000

spin magnetization = 0.0 μB/cell
DOS at the Fermi energy = 0.50 states/eV/atom


Most stable: arrangement two (next structure +27 meV/atom)


Arrangement one

Here is a geometry-optimized V3CdW structure from Alexandria via LeMat-Bulk. Energies are from GGA-PBE.

Lattice parameters (Å, degrees): 4.7490 4.7490 4.7490 90.00 90.00 90.00
Each line ends with the local moment (μB).
Atoms (fractional coordinates):
W  0.5000  0.5000  0.5000  -1.62
V  0.0000  0.0000  0.5000  2.06
V  0.0000  0.5000  0.0000  2.06
V  0.5000  0.0000  0.0000  2.06
Cd  0.0000  0.0000  0.0000  0.14

spin magnetization = 5.5 μB/cell
DOS at the Fermi energy = 2.11 states/eV/atom


Arrangement two

Here is a geometry-optimized V3CdW structure from Alexandria via LeMat-Bulk. Energies are from GGA-PBE.

Lattice parameters (Å, degrees): 4.6236 4.6236 4.6236 90.00 90.00 90.00
Atoms (fractional coordinates):
W  0.0000  0.0000  0.0000
V  0.0000  0.5000  0.0000
V  0.5000  0.0000  0.0000
V  0.0000  0.0000  0.5000
Cd  0.5000  0.5000  0.5000

spin magnetization = 0.0 μB/cell
DOS at the Fermi energy = 1.19 states/eV/atom


Most stable: arrangement two (next structure +1068 meV/atom)


Arrangement one

Here is a geometry-optimized YVCd2 structure from Alexandria via LeMat-Bulk. Energies are from GGA-PBE.

Lattice parameters (Å, degrees): 4.3186 4.3186 11.0265 78.71 78.71 90.00
Each line ends with the local moment (μB).
Atoms (fractional coordinates):
Cd  0.8750  0.8434  0.7500  0.01
Cd  0.3750  0.4066  0.7500  0.01
Cd  0.5934  0.1250  0.2500  0.01
Cd  0.1566  0.6250  0.2500  0.01
V  0.5000  0.5000  0.0000  2.67
V  0.2500  0.7500  0.5000  2.67
Y  0.7500  0.2500  0.5000  0.18
Y  0.0000  0.0000  0.0000  0.18

spin magnetization = 7.0 μB/cell
DOS at the Fermi energy = 0.80 states/eV/atom


Arrangement two

Here is a geometry-optimized YVCd2 structure from Alexandria via LeMat-Bulk. Energies are from GGA-PBE.

Lattice parameters (Å, degrees): 5.0129 5.0129 5.0129 60.00 60.00 60.00
Each line ends with the local moment (μB).
Atoms (fractional coordinates):
V  0.0000  0.0000  0.0000  2.58
Cd  0.2500  0.2500  0.2500  -0.01
Cd  0.7500  0.7500  0.7500  -0.01
Y  0.5000  0.5000  0.5000  0.02

spin magnetization = 3.2 μB/cell
DOS at the Fermi energy = 1.05 states/eV/atom


Most stable: arrangement two (next structure +353 meV/atom)


Arrangement one

Here is a geometry-optimized YV2Cd structure from Alexandria via LeMat-Bulk. Energies are from GGA-PBE.

Lattice parameters (Å, degrees): 4.9128 4.9128 4.9128 60.00 60.00 60.00
Each line ends with the local moment (μB).
Atoms (fractional coordinates):
V  0.2500  0.2500  0.2500  2.63
V  0.7500  0.7500  0.7500  2.63
Cd  0.5000  0.5000  0.5000  0.00
Y  0.0000  0.0000  0.0000  0.53

spin magnetization = 7.2 μB/cell
DOS at the Fermi energy = 1.44 states/eV/atom


Arrangement two

Here is a geometry-optimized YV2Cd structure from Alexandria via LeMat-Bulk. Energies are from GGA-PBE.

Lattice parameters (Å, degrees): 7.7261 7.7261 6.1932 51.41 51.41 90.00
Each line ends with the local moment (μB).
Atoms (fractional coordinates):
Cd  0.0000  0.0000  0.0000  -0.01
Cd  0.7500  0.2500  0.5000  -0.01
Y  0.5000  0.5000  0.0000  0.07
Y  0.2500  0.7500  0.5000  0.07
V  0.3750  0.3522  0.7500  1.90
V  0.1022  0.6250  0.2500  1.90
V  0.8750  0.8978  0.7500  1.90
V  0.6478  0.1250  0.2500  1.90

spin magnetization = 8.7 μB/cell
DOS at the Fermi energy = 1.36 states/eV/atom


Most stable: arrangement one (next structure +313 meV/atom)


Arrangement one

Here is a geometry-optimized YV3Cd structure from Alexandria via LeMat-Bulk. Energies are from GGA-PBE.

Lattice parameters (Å, degrees): 5.0086 5.0086 5.0086 90.00 90.00 90.00
Each line ends with the local moment (μB).
Atoms (fractional coordinates):
V  0.0000  0.5000  0.0000  2.46
V  0.5000  0.0000  0.0000  2.46
V  0.0000  0.0000  0.5000  2.46
Cd  0.0000  0.0000  0.0000  0.12
Y  0.5000  0.5000  0.5000  0.24

spin magnetization = 9.7 μB/cell
DOS at the Fermi energy = 2.12 states/eV/atom


Arrangement two

Here is a geometry-optimized YV3Cd structure from Alexandria via LeMat-Bulk. Energies are from GGA-PBE.

Lattice parameters (Å, degrees): 4.7766 4.7766 4.7766 90.00 90.00 90.00
Each line ends with the local moment (μB).
Atoms (fractional coordinates):
V  0.0000  0.5000  0.0000  1.32
V  0.5000  0.0000  0.0000  1.32
V  0.0000  0.0000  0.5000  1.32
Y  0.0000  0.0000  0.0000  0.10
Cd  0.5000  0.5000  0.5000  -0.03

spin magnetization = 4.6 μB/cell
DOS at the Fermi energy = 1.45 states/eV/atom


Most stable: arrangement one (next structure +498 meV/atom)


Arrangement one

Here is a geometry-optimized V2ZnCd structure from Alexandria via LeMat-Bulk. Energies are from GGA-PBE.

Lattice parameters (Å, degrees): 7.2046 7.2046 5.7003 50.81 50.81 90.00
Atoms (fractional coordinates):
V  0.8750  0.8605  0.7500
V  0.6105  0.1250  0.2500
V  0.1395  0.6250  0.2500
V  0.3750  0.3895  0.7500
Cd  0.7500  0.2500  0.5000
Cd  0.0000  0.0000  0.0000
Zn  0.5000  0.5000  0.0000
Zn  0.2500  0.7500  0.5000

spin magnetization = 0.0 μB/cell
DOS at the Fermi energy = 0.83 states/eV/atom


Arrangement two

Here is a geometry-optimized V2ZnCd structure from Alexandria via LeMat-Bulk. Energies are from GGA-PBE.

Lattice parameters (Å, degrees): 4.4561 4.4561 4.4561 60.00 60.00 60.00
Each line ends with the local moment (μB).
Atoms (fractional coordinates):
V  0.2500  0.2500  0.2500  0.79
V  0.7500  0.7500  0.7500  0.79
Cd  0.5000  0.5000  0.5000  -0.01
Zn  0.0000  0.0000  0.0000  -0.01

spin magnetization = 1.7 μB/cell
DOS at the Fermi energy = 0.97 states/eV/atom


Most stable: arrangement two (next structure +241 meV/atom)